Compound: In2Pt
Source: the Alexandria database
Functional: PBE
Structure: relaxed

a = 6.935 Å, b = 6.935 Å, c = 5.618 Å
α = 113.45°, β = 113.45°, γ = 31.90°
Atoms (fractional coordinates):
In 0.000 0.000 0.244
In 0.000 0.000 0.756
In 0.293 0.293 0.794
In 0.707 0.707 0.206
Pt 0.374 0.374 0.374
Pt 0.626 0.626 0.626

Its space-group type is C2/m (12). Its crystal system is monoclinic. As for the formation energy: -33 kJ per mole of atoms.

Compound: In2Pt
Source: the Alexandria database
Functional: PBE
Structure: relaxed

a = 5.295 Å, b = 5.295 Å, c = 7.737 Å
α = 116.38°, β = 116.38°, γ = 42.45°
Atoms (fractional coordinates):
In 0.093 0.093 0.376
In 0.339 0.339 0.935
In 0.661 0.661 0.065
In 0.907 0.907 0.624
Pt 0.355 0.355 0.319
Pt 0.645 0.645 0.681

Its space-group type is C2/m (12). Its crystal system is monoclinic. As for the formation energy: -39 kJ per mole of atoms.

Compound: In2Pt
Source: the Alexandria database
Functional: PBE
Structure: relaxed

a = 7.281 Å, b = 7.281 Å, c = 4.608 Å
α = 90.00°, β = 90.00°, γ = 149.12°
Atoms (fractional coordinates):
In 0.062 0.938 0.750
In 0.260 0.740 0.250
In 0.740 0.260 0.750
In 0.938 0.062 0.250
Pt 0.383 0.617 0.750
Pt 0.617 0.383 0.250

Its space-group type is Cmcm (63). Its crystal system is orthorhombic. As for the formation energy: -16 kJ per mole of atoms.

Compound: InPt2
Source: the Alexandria database
Functional: PBE
Structure: relaxed

a = 5.472 Å, b = 5.472 Å, c = 6.692 Å
α = 101.92°, β = 101.92°, γ = 32.21°
Atoms (fractional coordinates):
In 0.000 0.000 0.000
In 0.700 0.700 0.376
Pt 0.067 0.067 0.621
Pt 0.345 0.345 0.692
Pt 0.416 0.416 0.293
Pt 0.720 0.720 0.968

Its space-group type is Cm (8). Its crystal system is monoclinic. As for the formation energy: -26 kJ per mole of atoms.

Compound: In2Pt
Source: the Alexandria database
Functional: PBE
Structure: relaxed

a = 5.158 Å, b = 5.158 Å, c = 8.260 Å
α = 90.26°, β = 90.26°, γ = 39.51°
Atoms (fractional coordinates):
In 0.135 0.135 0.101
In 0.142 0.142 0.628
In 0.858 0.858 0.372
In 0.865 0.865 0.899
Pt 0.420 0.420 0.646
Pt 0.580 0.580 0.354

Its space-group type is C2/m (12). Its crystal system is monoclinic. As for the formation energy: -29 kJ per mole of atoms.

Compound: In5Pt
Source: the Alexandria database
Functional: PBE
Structure: relaxed

a = 4.908 Å, b = 7.678 Å, c = 7.678 Å
α = 30.17°, β = 90.00°, γ = 90.00°
Atoms (fractional coordinates):
In 0.000 0.000 0.000
In 0.000 0.291 0.291
In 0.500 0.118 0.118
In 0.500 0.440 0.440
In 0.500 0.773 0.773
Pt 0.000 0.657 0.657

Its space-group type is Amm2 (38). Its crystal system is orthorhombic. As for the formation energy: -4 kJ per mole of atoms.

Compound: InPt3
Source: the Alexandria database
Functional: PBE
Structure: relaxed

a = 2.904 Å, b = 3.948 Å, c = 5.824 Å
α = 90.00°, β = 90.20°, γ = 90.00°
Atoms (fractional coordinates):
In 0.000 0.000 0.000
Pt 0.000 0.000 0.500
Pt 0.499 0.500 0.747
Pt 0.501 0.500 0.253

Its space-group type is P2/m (10). Its crystal system is monoclinic. As for the formation energy: -26 kJ per mole of atoms.

Compound: In5Pt
Source: the Alexandria database
Functional: PBE
Structure: relaxed

a = 7.405 Å, b = 7.405 Å, c = 6.407 Å
α = 115.40°, β = 115.40°, γ = 27.33°
Atoms (fractional coordinates):
In 0.000 0.000 0.000
In 0.027 0.027 0.490
In 0.365 0.365 0.565
In 0.704 0.704 0.165
In 0.730 0.730 0.729
Pt 0.365 0.365 0.116

Its space-group type is Cm (8). Its crystal system is monoclinic. As for the formation energy: -8 kJ per mole of atoms.

Compound: In3Pt
Source: the Alexandria database
Functional: PBE
Structure: relaxed

a = 5.559 Å, b = 5.559 Å, c = 5.559 Å
α = 90.00°, β = 90.00°, γ = 90.00°
Atoms (fractional coordinates):
In 0.000 0.250 0.500
In 0.000 0.750 0.500
In 0.250 0.500 0.000
In 0.500 0.000 0.250
In 0.500 0.000 0.750
In 0.750 0.500 0.000
Pt 0.000 0.000 0.000
Pt 0.500 0.500 0.500

Its space-group type is Pm-3n (223). Its crystal system is cubic. As for the formation energy: -8 kJ per mole of atoms.

Compound: In3Pt2
Source: the Alexandria database
Functional: PBE
Structure: relaxed

a = 4.617 Å, b = 4.617 Å, c = 5.600 Å
α = 90.00°, β = 90.00°, γ = 120.00°
Atoms (fractional coordinates):
In 0.000 0.000 0.000
In 0.333 0.667 0.652
In 0.667 0.333 0.348
Pt 0.333 0.667 0.164
Pt 0.667 0.333 0.836

Its space-group type is P-3m1 (164). Its crystal system is trigonal. As for the formation energy: -46 kJ per mole of atoms.

Compound: InPt3
Source: the Alexandria database
Functional: PBE
Structure: relaxed

a = 5.044 Å, b = 5.044 Å, c = 5.044 Å
α = 90.00°, β = 90.00°, γ = 90.00°
Atoms (fractional coordinates):
In 0.000 0.000 0.000
Pt 0.000 0.000 0.500
Pt 0.000 0.500 0.000
Pt 0.500 0.000 0.000

Its space-group type is Pm-3m (221). Its crystal system is cubic. As for the formation energy: 150 kJ per mole of atoms.

Compound: In3Pt
Source: the Alexandria database
Functional: PBE
Structure: relaxed

a = 5.217 Å, b = 5.217 Å, c = 5.217 Å
α = 90.00°, β = 90.00°, γ = 90.00°
Atoms (fractional coordinates):
In 0.000 0.000 0.500
In 0.000 0.500 0.000
In 0.500 0.000 0.000
Pt 0.000 0.000 0.000

Its space-group type is Pm-3m (221). Its crystal system is cubic. As for the formation energy: -10 kJ per mole of atoms.

Compound: In3Pt5
Source: the Alexandria database
Functional: PBE
Structure: relaxed

a = 7.854 Å, b = 7.854 Å, c = 5.431 Å
α = 90.00°, β = 90.00°, γ = 120.00°
Atoms (fractional coordinates):
In 0.000 0.399 0.250
In 0.000 0.601 0.750
In 0.399 0.000 0.250
In 0.399 0.399 0.750
In 0.601 0.000 0.750
In 0.601 0.601 0.250
Pt 0.000 0.210 0.750
Pt 0.000 0.790 0.250
Pt 0.210 0.000 0.750
Pt 0.210 0.210 0.250
Pt 0.333 0.667 0.000
Pt 0.333 0.667 0.500
Pt 0.667 0.333 0.000
Pt 0.667 0.333 0.500
Pt 0.790 0.000 0.250
Pt 0.790 0.790 0.750

Its space-group type is P6_3/mcm (193). Its crystal system is hexagonal. As for the formation energy: -23 kJ per mole of atoms.

Compound: In3Pt
Source: the Alexandria database
Functional: PBE
Structure: relaxed

a = 3.139 Å, b = 3.425 Å, c = 8.491 Å
α = 90.00°, β = 90.00°, γ = 90.00°
Atoms (fractional coordinates):
In 0.000 0.000 0.000
In 0.500 0.500 0.298
In 0.500 0.500 0.702
Pt 0.000 0.000 0.500

Its space-group type is Pmmm (47). Its crystal system is orthorhombic. As for the formation energy: -17 kJ per mole of atoms.

Compound: InPt2
Source: the Alexandria database
Functional: PBE
Structure: relaxed

a = 7.233 Å, b = 7.233 Å, c = 5.105 Å
α = 90.00°, β = 90.00°, γ = 156.57°
Atoms (fractional coordinates):
In 0.204 0.796 0.750
In 0.796 0.204 0.250
Pt 0.128 0.872 0.250
Pt 0.459 0.541 0.250
Pt 0.541 0.459 0.750
Pt 0.872 0.128 0.750

Its space-group type is Cmcm (63). Its crystal system is orthorhombic. As for the formation energy: -14 kJ per mole of atoms.

Compound: In2Pt
Source: the Alexandria database
Functional: PBE
Structure: relaxed

a = 4.571 Å, b = 4.571 Å, c = 4.571 Å
α = 60.00°, β = 60.00°, γ = 60.00°
Atoms (fractional coordinates):
In 0.250 0.250 0.250
In 0.750 0.750 0.750
Pt 0.000 0.000 0.000

Its space-group type is Fm-3m (225). Its crystal system is cubic. As for the formation energy: -46 kJ per mole of atoms.

Compound: In3Pt
Source: the Alexandria database
Functional: PBE
Structure: relaxed

a = 5.403 Å, b = 5.403 Å, c = 5.403 Å
α = 131.56°, β = 131.56°, γ = 70.92°
Atoms (fractional coordinates):
In 0.000 0.000 0.000
In 0.250 0.750 0.500
In 0.750 0.250 0.500
Pt 0.500 0.500 0.000

Its space-group type is I4/mmm (139). Its crystal system is tetragonal. As for the formation energy: -4 kJ per mole of atoms.

Compound: In3Pt
Source: the Alexandria database
Functional: PBE
Structure: relaxed

a = 4.711 Å, b = 4.711 Å, c = 6.139 Å
α = 102.44°, β = 102.44°, γ = 45.02°
Atoms (fractional coordinates):
In 0.000 0.000 0.000
In 0.233 0.233 0.704
In 0.767 0.767 0.296
Pt 0.500 0.500 0.500

Its space-group type is C2/m (12). Its crystal system is monoclinic. As for the formation energy: -12 kJ per mole of atoms.

Compound: InPt3
Source: the Alexandria database
Functional: PBE
Structure: relaxed

a = 4.049 Å, b = 4.049 Å, c = 4.049 Å
α = 90.00°, β = 90.00°, γ = 90.00°
Atoms (fractional coordinates):
In 0.000 0.000 0.000
Pt 0.000 0.500 0.500
Pt 0.500 0.000 0.500
Pt 0.500 0.500 0.000

Its space-group type is Pm-3m (221). Its crystal system is cubic. As for the formation energy: -36 kJ per mole of atoms.

Compound: In3Pt2
Source: the Alexandria database
Functional: PBE
Structure: relaxed

a = 7.304 Å, b = 7.304 Å, c = 7.304 Å
α = 53.67°, β = 53.67°, γ = 53.67°
Atoms (fractional coordinates):
In 0.106 0.750 0.394
In 0.250 0.606 0.894
In 0.394 0.106 0.750
In 0.606 0.894 0.250
In 0.750 0.394 0.106
In 0.894 0.250 0.606
Pt 0.171 0.171 0.171
Pt 0.329 0.329 0.329
Pt 0.671 0.671 0.671
Pt 0.829 0.829 0.829

Its space-group type is R-3c (167). Its crystal system is trigonal. As for the formation energy: -37 kJ per mole of atoms.

Compound: In3Pt2
Source: the Alexandria database
Functional: PBE
Structure: relaxed

a = 8.985 Å, b = 8.985 Å, c = 8.985 Å
α = 25.11°, β = 25.11°, γ = 25.11°
Atoms (fractional coordinates):
In 0.000 0.000 0.000
In 0.214 0.214 0.214
In 0.786 0.786 0.786
Pt 0.394 0.394 0.394
Pt 0.606 0.606 0.606

Its space-group type is R-3m (166). Its crystal system is trigonal. As for the formation energy: -22 kJ per mole of atoms.

Compound: InPt3
Source: the Alexandria database
Functional: PBE
Structure: relaxed

a = 5.179 Å, b = 5.179 Å, c = 5.179 Å
α = 90.00°, β = 90.00°, γ = 90.00°
Atoms (fractional coordinates):
In 0.000 0.000 0.000
In 0.500 0.500 0.500
Pt 0.000 0.250 0.500
Pt 0.000 0.750 0.500
Pt 0.250 0.500 0.000
Pt 0.500 0.000 0.250
Pt 0.500 0.000 0.750
Pt 0.750 0.500 0.000

Its space-group type is Pm-3n (223). Its crystal system is cubic. As for the formation energy: -4 kJ per mole of atoms.

Compound: InPt4
Source: the Alexandria database
Functional: PBE
Structure: relaxed

a = 4.936 Å, b = 4.936 Å, c = 4.936 Å
α = 99.90°, β = 99.90°, γ = 131.02°
Atoms (fractional coordinates):
In 0.000 0.000 0.000
Pt 0.197 0.402 0.599
Pt 0.402 0.803 0.206
Pt 0.598 0.197 0.794
Pt 0.803 0.598 0.401

Its space-group type is I4/m (87). Its crystal system is tetragonal. As for the formation energy: -24 kJ per mole of atoms.

Compound: In3Pt
Source: the Alexandria database
Functional: PBE
Structure: relaxed

a = 5.323 Å, b = 9.944 Å, c = 4.009 Å
α = 90.00°, β = 90.00°, γ = 90.00°
Atoms (fractional coordinates):
In 0.250 0.064 0.095
In 0.250 0.436 0.095
In 0.250 0.750 0.402
In 0.750 0.250 0.598
In 0.750 0.564 0.905
In 0.750 0.936 0.905
Pt 0.250 0.250 0.585
Pt 0.750 0.750 0.415

Its space-group type is Pmmn (59). Its crystal system is orthorhombic. As for the formation energy: -19 kJ per mole of atoms.

Compound: In2Pt
Source: the Alexandria database
Functional: PBE
Structure: relaxed

a = 12.101 Å, b = 12.101 Å, c = 12.101 Å
α = 164.29°, β = 164.29°, γ = 22.29°
Atoms (fractional coordinates):
In 0.305 0.555 0.750
In 0.445 0.695 0.750
In 0.555 0.305 0.250
In 0.695 0.445 0.250
Pt 0.125 0.875 0.250
Pt 0.875 0.125 0.750

Its space-group type is I4_1/amd (141). Its crystal system is tetragonal. As for the formation energy: -25 kJ per mole of atoms.

Compound: In3Pt4
Source: the Alexandria database
Functional: PBE
Structure: relaxed

a = 7.202 Å, b = 7.215 Å, c = 8.944 Å
α = 108.14°, β = 107.86°, γ = 103.29°
Atoms (fractional coordinates):
In 0.000 0.000 0.000
In 0.003 0.009 0.466
In 0.074 0.553 0.637
In 0.124 0.607 0.162
In 0.338 0.076 0.832
In 0.579 0.576 0.019
In 0.581 0.572 0.517
In 0.654 0.127 0.213
In 0.660 0.123 0.636
Pt 0.081 0.310 0.328
Pt 0.087 0.307 0.830
Pt 0.282 0.796 0.987
Pt 0.284 0.795 0.511
Pt 0.324 0.065 0.328
Pt 0.374 0.353 0.659
Pt 0.375 0.349 0.164
Pt 0.569 0.809 0.825
Pt 0.578 0.817 0.327
Pt 0.776 0.260 0.987
Pt 0.828 0.561 0.825
Pt 0.833 0.567 0.331

Its space-group type is P1 (1). Its crystal system is triclinic. As for the formation energy: -44 kJ per mole of atoms.